{
  "formula": "LaMgCoPb",
  "functional": "GGA-PBE",
  "state": "relaxed",
  "lattice_angstrom": [[0.550, -0.595, 4.977], [-3.113, -3.053, 2.534], [1.704, -4.374, 1.843]],
  "species": ["Co", "La", "Mg", "Pb"],
  "fractional_positions": [[0.000, 0.000, 0.000], [0.500, 0.500, 0.500], [0.750, 0.750, 0.750], [0.250, 0.250, 0.250]],
  "density_kg_m3": 7861,
  "e_tot_ev_per_atom": -4.1962,
  "spacegroup": "F-43m, No. 216",
  "volume_a3_per_fu": 90.69
}